(1)
The following is a DFT calculation (PBE) of an optimized crystal structure of Ac6PdPt2I3.

Unit cell a=7.7654 b=7.7654 c=9.0236 alpha=98.24 beta=98.24 gamma=120.01
Last column: nearest neighbours and their distance in Å.
Sites, in units of the cell vectors:
Ac: 0.0620 0.3988 0.1860  2 Pt 3.04, 1 Pd 3.07
Ac: 0.2748 0.2748 0.8140  2 Pt 3.04, 1 Pd 3.07
Ac: 0.6012 0.9380 0.8140  2 Pt 3.04, 1 Pd 3.07
Ac: 0.3988 0.0620 0.1860  2 Pt 3.04, 1 Pd 3.07
Ac: 0.7252 0.7252 0.1860  2 Pt 3.04, 1 Pd 3.07
Ac: 0.9380 0.6012 0.8140  2 Pt 3.04, 1 Pd 3.07
Pt: 0.3333 0.6667 0.0000  6 Ac 3.04
Pt: 0.6667 0.3333 0.0000  6 Ac 3.04
I: 0.1662 0.8338 0.5000  6 Ac 3.74-3.76
I: 0.8338 0.1662 0.5000  6 Ac 3.74-3.76
I: 0.5000 0.5000 0.5000  6 Ac 3.73-3.76
Pd: 0.0000 0.0000 0.0000  6 Ac 3.07

Its mass density is 8.24 g/cm3. As for the symmetry: C2/m (12). The crystal system is monoclinic. As for the formation energy without anion corrections: -1144.6 meV per atom.

(2)
The following is a DFT calculation (PBE) of an optimized crystal structure of AgPRh2.

Unit cell a=2.7821 b=2.7821 c=9.0568 alpha=90.00 beta=90.00 gamma=118.22
Last column: nearest neighbours and their distance in Å.
Sites, in units of the cell vectors:
Rh: 0.0000 0.0000 0.0185  2 P 2.32
Rh: 0.5000 0.5000 0.7623  8 Rh 2.72-2.86, 2 Ag 2.79
Ag: 0.0000 0.0000 0.4982  6 Ag 2.78-2.86, 2 Rh 2.79, 2 P 2.89
P: 0.5000 0.5000 0.2210  2 Rh 2.32

Its mass density is 9.27 g/cm3. As for the symmetry: Cmm2 (35). The crystal system is orthorhombic. As for the energy of formation from the pure elements: 0.212 eV per atom.

(3)
The following is a DFT calculation (PBE) of an optimized crystal structure of Na3Bi4F12.

Unit cell a=7.7162 b=7.7162 c=7.7162 alpha=109.47 beta=109.47 gamma=109.47
Last column: nearest neighbours and their distance in Å.
Sites, in units of the cell vectors:
F: 0.8710 0.2147 0.6563  1 Na 2.37, 2 Bi 2.40
F: 0.2147 0.6563 0.8710  1 Na 2.37, 2 Bi 2.40
F: 0.3437 0.5585 0.2147  1 Na 2.37, 2 Bi 2.40
F: 0.3437 0.1290 0.7853  1 Na 2.37, 2 Bi 2.40
F: 0.4415 0.7853 0.6563  1 Na 2.37, 2 Bi 2.40
F: 0.1290 0.7853 0.3437  1 Na 2.37, 2 Bi 2.40
F: 0.5585 0.2147 0.3437  1 Na 2.37, 2 Bi 2.40
F: 0.7853 0.3437 0.1290  1 Na 2.37, 2 Bi 2.40
F: 0.6563 0.8710 0.2147  1 Na 2.37, 2 Bi 2.40
F: 0.6563 0.4415 0.7853  1 Na 2.37, 2 Bi 2.40
F: 0.7853 0.6563 0.4415  1 Na 2.37, 2 Bi 2.40
F: 0.2147 0.3437 0.5585  1 Na 2.37, 2 Bi 2.40
Bi: 0.0000 0.5000 0.0000  6 F 2.40
Bi: 0.5000 0.5000 0.5000  6 F 2.40
Bi: 0.0000 0.0000 0.5000  6 F 2.40
Bi: 0.5000 0.0000 0.0000  6 F 2.40
Na: 0.0000 0.5000 0.5000  4 F 2.37
Na: 0.5000 0.0000 0.5000  4 F 2.37
Na: 0.5000 0.5000 0.0000  4 F 2.37

Its mass density is 5.32 g/cm3. As for the symmetry: Im-3 (204). The crystal system is cubic. As for the formation energy without anion corrections: -2164.1 meV per atom.

(4)
The following is a DFT calculation (PBE) of an optimized crystal structure of ThBeGa2Pd4.

Unit cell a=4.2816 b=4.2816 c=8.8349 alpha=75.98 beta=75.98 gamma=60.00
Last column: nearest neighbours and their distance in Å.
Sites, in units of the cell vectors:
Pd: 0.5949 0.5949 0.2153  1 Be 2.41, 3 Ga 2.54
Pd: 0.4051 0.4051 0.7847  1 Be 2.41, 3 Ga 2.54
Pd: 0.1362 0.1362 0.5914  3 Be 2.59, 4 Ga 2.62-2.69
Pd: 0.8638 0.8638 0.4086  3 Be 2.59, 4 Ga 2.62-2.69
Be: 0.5000 0.5000 0.5000  8 Pd 2.41-2.59
Ga: 0.2390 0.2390 0.2831  7 Pd 2.54-2.69
Ga: 0.7610 0.7610 0.7169  7 Pd 2.54-2.69
Th: 0.0000 0.0000 0.0000  6 Pd 3.07

Its mass density is 9.94 g/cm3. As for the symmetry: R-3m (166). The crystal system is trigonal. As for the energy of formation from the pure elements: -0.672 eV per atom.

Number 1: M_tot 0.000 μB/f.u.. Number 2: M_tot 0.006 μB/f.u.. Number 3: M_tot 2.860 μB/f.u.. Number 4: M_tot 0.000 μB/f.u..